LiScGe (GGA-PBE, relaxed); ΔH_f (0 K) = -0.59 eV/atom; SG = P4/nmm; final energy = -14.6 eV/f.u.; magnetic moment = 0.00 μB/f.u.
1.0
3.925 0.000 0.000
0.000 3.925 0.000
0.000 0.000 7.044
Li Ge Sc
2 2 2
Direct
0.000 0.000 0.000 Li
0.500 0.500 0.000 Li
0.500 0.000 0.742 Ge
0.000 0.500 0.258 Ge
0.500 0.000 0.346 Sc
0.000 0.500 0.654 Sc